Here is a PBEsol-optimized structure of BaMnOs from Alexandria. Energies are from SCAN.

Values from the calculation:
SG: No. 44
calculated density: 10.0 g/cm3

Structure (POSCAR):
```
BaMnOs
1.0
-1.495 1.808 5.872
1.495 -1.808 5.872
1.495 1.808 -5.872
Ba Mn Os
1 1 1
direct
0.000 0.000 0.000
0.723 0.723 0.000
0.284 0.284 0.000
```

Here is a PBEsol-optimized structure of BaMnOs2 from Alexandria. Energies are from SCAN.

Values from the calculation:
SG: No. 123
calculated density: 12.9 g/cm3

Structure (POSCAR):
```
BaMnOs2
1.0
3.898 0.000 0.000
0.000 3.898 0.000
0.000 0.000 4.860
Ba Mn Os
1 1 2
direct
0.000 0.000 0.000
0.500 0.500 0.000
0.000 0.500 0.500
0.500 0.000 0.500
```

Here is a PBEsol-optimized structure of Ba2MnOs from Alexandria. Energies are from SCAN.

Values from the calculation:
SG: No. 123
calculated density: 8.0 g/cm3

Structure (POSCAR):
```
Ba2MnOs
1.0
5.111 0.000 0.000
0.000 5.111 0.000
0.000 0.000 4.151
Ba Mn Os
2 1 1
direct
0.000 0.500 0.000
0.500 0.000 0.000
0.000 0.000 0.500
0.500 0.500 0.500
```

Across the entries above, formation enthalpy at 0 K takes the values 0.558 1.455 0.915 eV/atom, respectively.